1.
# AgSb meta-GGA SCAN single point on PBEsol structure
# * electronic total energy: -34.12 eV/atom
# * distance to the lowest polymorph of the same formula: 123.9 meV/atom
# * total moment: 0.0000 μB/atom
# * DOS at the Fermi energy: 0.82 states/eV/f.u.
# * formation energy without anion corrections: 0.196 eV per atom
data_AgSb
_symmetry_space_group_name_H-M 'P 4/m m m'
_symmetry_Int_Tables_number 123
_symmetry_space_group_name_Hall '-P 4 2'
_cell_length_a 3.7693
_cell_length_b 3.7693
_cell_length_c 3.0437
_cell_angle_alpha 90.00
_cell_angle_beta 90.00
_cell_angle_gamma 90.00
loop_
_atom_site_label
_atom_site_type_symbol
_atom_site_fract_x
_atom_site_fract_y
_atom_site_fract_z
Ag1 Ag 0.0000 0.0000 0.0000
Sb1 Sb 0.5000 0.5000 0.5000

=====

2.
# LiAg2As meta-GGA SCAN single point on PBEsol structure
# * electronic total energy: -21.54 eV/atom
# * total moment: 0.0000 μB/atom
# * energy relative to the elements: -0.832 eV per formula unit
# * DOS at the Fermi energy: 0.68 states/eV/f.u.
data_LiAg2As
_symmetry_space_group_name_H-M 'I 4/m m m'
_symmetry_Int_Tables_number 139
_symmetry_space_group_name_Hall '-I 4 2'
_cell_length_a 4.0939
_cell_length_b 4.0939
_cell_length_c 7.7020
_cell_angle_alpha 90.00
_cell_angle_beta 90.00
_cell_angle_gamma 90.00
loop_
_atom_site_label
_atom_site_type_symbol
_atom_site_fract_x
_atom_site_fract_y
_atom_site_fract_z
Li1 Li 0.0000 0.0000 0.0000
Ag1 Ag 0.0000 0.5000 0.2500
As1 As 0.0000 0.0000 0.5000

=====

3.
# ZrAlSi2 meta-GGA SCAN single point on PBEsol structure
# * electronic total energy: -14.91 eV/atom
# * total moment: 0.0000 μB/atom
# * DOS at the Fermi energy: 1.51 states/eV/f.u.
# * formation energy without anion corrections: -0.287 eV per atom
data_ZrAlSi2
_symmetry_space_group_name_H-M 'C m c m'
_symmetry_Int_Tables_number 63
_symmetry_space_group_name_Hall '-C 2c 2'
_cell_length_a 3.6568
_cell_length_b 10.4334
_cell_length_c 6.9172
_cell_angle_alpha 90.00
_cell_angle_beta 90.00
_cell_angle_gamma 90.00
loop_
_atom_site_label
_atom_site_type_symbol
_atom_site_fract_x
_atom_site_fract_y
_atom_site_fract_z
Zr1 Zr 0.0000 0.0382 0.2500
Al1 Al 0.0000 0.2358 0.7500
Si1 Si 0.0000 0.3879 0.0479

=====

4.
# Ti2AgPt2 meta-GGA SCAN single point on PBEsol structure
# * electronic total energy: -41.17 eV/atom
# * distance to the lowest polymorph of the same formula: 454.9 meV/atom
# * total moment: 0.2945 μB/atom
# * energy relative to the elements: -2.045 eV per formula unit
# * DOS at the Fermi energy: 2.16 states/eV/f.u.
data_Ti2AgPt2
_symmetry_space_group_name_H-M 'I 4/m m m'
_symmetry_Int_Tables_number 139
_symmetry_space_group_name_Hall '-I 4 2'
_cell_length_a 3.7577
_cell_length_b 3.7577
_cell_length_c 12.3931
_cell_angle_alpha 90.00
_cell_angle_beta 90.00
_cell_angle_gamma 90.00
loop_
_atom_site_label
_atom_site_type_symbol
_atom_site_fract_x
_atom_site_fract_y
_atom_site_fract_z
Ti1 Ti 0.0000 0.0000 0.1070
Ag1 Ag 0.0000 0.0000 0.5000
Pt1 Pt 0.0000 0.5000 0.2500

=====

5.
# BaZn3Ru meta-GGA SCAN single point on PBEsol structure
# * electronic total energy: -23.15 eV/atom
# * total moment: 0.0000 μB/atom
# * energy relative to the elements: -0.848 eV per formula unit
# * DOS at the Fermi energy: 1.77 states/eV/f.u.
data_BaZn3Ru
_symmetry_space_group_name_H-M 'P m -3 m'
_symmetry_Int_Tables_number 221
_symmetry_space_group_name_Hall '-P 4 2 3'
_cell_length_a 4.8318
_cell_length_b 4.8318
_cell_length_c 4.8318
_cell_angle_alpha 90.00
_cell_angle_beta 90.00
_cell_angle_gamma 90.00
loop_
_atom_site_label
_atom_site_type_symbol
_atom_site_fract_x
_atom_site_fract_y
_atom_site_fract_z
Ba1 Ba 0.0000 0.0000 0.0000
Zn1 Zn 0.0000 0.5000 0.5000
Ru1 Ru 0.5000 0.5000 0.5000

=====

6.
# MgTa2Ni meta-GGA SCAN single point on PBEsol structure
# * electronic total energy: -38.42 eV/atom
# * total moment: 0.0000 μB/atom
# * energy relative to the elements: 0.626 eV per formula unit
# * DOS at the Fermi energy: 2.63 states/eV/f.u.
data_MgTa2Ni
_symmetry_space_group_name_H-M 'I m m 2'
_symmetry_Int_Tables_number 44
_cell_length_a 2.9052
_cell_length_b 4.7974
_cell_length_c 9.1638
_cell_angle_alpha 90.00
_cell_angle_beta 90.00
_cell_angle_gamma 90.00
loop_
_symmetry_equiv_pos_as_xyz
'x,y,z'
'-x,-y,z'
'-x,y,z'
'x,-y,z'
'x+1/2,y+1/2,z+1/2'
'-x+1/2,-y+1/2,z+1/2'
'-x+1/2,y+1/2,z+1/2'
'x+1/2,-y+1/2,z+1/2'
loop_
_atom_site_label
_atom_site_type_symbol
_atom_site_fract_x
_atom_site_fract_y
_atom_site_fract_z
Mg1 Mg 0.0000 0.0000 0.0000
Ta1 Ta 0.0000 0.0000 0.4495
Ta2 Ta 0.0000 0.5000 0.2104
Ni1 Ni 0.0000 0.5000 0.7290

=====

7.
# AgP5 meta-GGA SCAN single point on PBEsol structure
# * electronic total energy: -13.40 eV/atom
# * distance to the lowest polymorph of the same formula: 0.0 meV/atom
# * total moment: 0.0000 μB/atom
# * energy relative to the elements: 2.959 eV per formula unit
# * DOS at the Fermi energy: 2.03 states/eV/f.u.
data_AgP5
_symmetry_space_group_name_H-M 'A m m 2'
_symmetry_Int_Tables_number 38
_cell_length_a 3.9757
_cell_length_b 3.1799
_cell_length_c 15.6705
_cell_angle_alpha 90.00
_cell_angle_beta 90.00
_cell_angle_gamma 90.00
loop_
_symmetry_equiv_pos_as_xyz
'x,y,z'
'-x,-y,z'
'-x,y,z'
'x,-y,z'
'x,y+1/2,z+1/2'
'-x,-y+1/2,z+1/2'
'-x,y+1/2,z+1/2'
'x,-y+1/2,z+1/2'
loop_
_atom_site_label
_atom_site_type_symbol
_atom_site_fract_x
_atom_site_fract_y
_atom_site_fract_z
Ag1 Ag 0.0000 0.0000 0.0000
P1 P 0.0000 0.0000 0.2626
P2 P 0.0000 0.0000 0.6539
P3 P 0.5000 0.0000 0.1664
P4 P 0.5000 0.0000 0.4539
P5 P 0.5000 0.0000 0.8561

=====

8.
# NiAgIN2 meta-GGA SCAN single point on PBEsol structure
# * electronic total energy: -18.82 eV/atom
# * total moment: 0.9016 μB/atom
# * DOS at the Fermi energy: 2.22 states/eV/f.u.
# * formation energy without anion corrections: 1.751 eV per atom
data_NiAgIN2
_symmetry_space_group_name_H-M 'P 4/m m m'
_symmetry_Int_Tables_number 123
_symmetry_space_group_name_Hall '-P 4 2'
_cell_length_a 3.8716
_cell_length_b 3.8716
_cell_length_c 6.7234
_cell_angle_alpha 90.00
_cell_angle_beta 90.00
_cell_angle_gamma 90.00
loop_
_atom_site_label
_atom_site_type_symbol
_atom_site_fract_x
_atom_site_fract_y
_atom_site_fract_z
Ni1 Ni 0.0000 0.0000 0.0000
Ag1 Ag 0.5000 0.5000 0.5000
I1 I 0.5000 0.5000 0.0000
N1 N 0.0000 0.5000 0.5000

=====

9.
# BaTlSn3 meta-GGA SCAN single point on PBEsol structure
# * electronic total energy: -43.80 eV/atom
# * total moment: 0.0000 μB/atom
# * energy relative to the elements: 0.670 eV per formula unit
# * DOS at the Fermi energy: 3.06 states/eV/f.u.
data_BaTlSn3
_symmetry_space_group_name_H-M 'P m -3 m'
_symmetry_Int_Tables_number 221
_symmetry_space_group_name_Hall '-P 4 2 3'
_cell_length_a 5.6736
_cell_length_b 5.6736
_cell_length_c 5.6736
_cell_angle_alpha 90.00
_cell_angle_beta 90.00
_cell_angle_gamma 90.00
loop_
_atom_site_label
_atom_site_type_symbol
_atom_site_fract_x
_atom_site_fract_y
_atom_site_fract_z
Ba1 Ba 0.0000 0.0000 0.0000
Tl1 Tl 0.5000 0.5000 0.5000
Sn1 Sn 0.0000 0.5000 0.5000

=====

10.
# YMnFe meta-GGA SCAN single point on PBEsol structure
# * electronic total energy: -21.29 eV/atom
# * total moment: 1.0767 μB/atom
# * energy relative to the elements: 0.371 eV per formula unit
# * DOS at the Fermi energy: 3.01 states/eV/f.u.
data_YMnFe
_symmetry_space_group_name_H-M 'I m m a'
_symmetry_Int_Tables_number 74
_symmetry_space_group_name_Hall '-I 2b 2'
_cell_length_a 4.8320
_cell_length_b 5.1111
_cell_length_c 7.2712
_cell_angle_alpha 90.00
_cell_angle_beta 90.00
_cell_angle_gamma 90.00
loop_
_atom_site_label
_atom_site_type_symbol
_atom_site_fract_x
_atom_site_fract_y
_atom_site_fract_z
Y1 Y 0.0000 0.2500 0.1233
Mn1 Mn 0.2500 0.2500 0.7500
Fe1 Fe 0.0000 0.0000 0.5000

=====

11.
# MgOs3Se meta-GGA SCAN single point on PBEsol structure
# * electronic total energy: -45.48 eV/atom
# * total moment: 0.2038 μB/atom
# * DOS at the Fermi energy: 3.91 states/eV/f.u.
# * formation energy without anion corrections: 2.659 eV per atom
data_MgOs3Se
_symmetry_space_group_name_H-M 'P m -3 m'
_symmetry_Int_Tables_number 221
_symmetry_space_group_name_Hall '-P 4 2 3'
_cell_length_a 4.4506
_cell_length_b 4.4506
_cell_length_c 4.4506
_cell_angle_alpha 90.00
_cell_angle_beta 90.00
_cell_angle_gamma 90.00
loop_
_atom_site_label
_atom_site_type_symbol
_atom_site_fract_x
_atom_site_fract_y
_atom_site_fract_z
Mg1 Mg 0.0000 0.0000 0.0000
Os1 Os 0.0000 0.0000 0.5000
Se1 Se 0.5000 0.5000 0.5000

=====

12.
# SbPb4Cl meta-GGA SCAN single point on PBEsol structure
# * electronic total energy: -57.96 eV/atom
# * total moment: 0.0000 μB/atom
# * DOS at the Fermi energy: 4.00 states/eV/f.u.
# * formation energy without anion corrections: 0.103 eV per atom
data_SbPb4Cl
_symmetry_space_group_name_H-M 'F -4 3 m'
_symmetry_Int_Tables_number 216
_symmetry_space_group_name_Hall 'F -4 2 3'
_cell_length_a 8.9486
_cell_length_b 8.9486
_cell_length_c 8.9486
_cell_angle_alpha 90.00
_cell_angle_beta 90.00
_cell_angle_gamma 90.00
loop_
_atom_site_label
_atom_site_type_symbol
_atom_site_fract_x
_atom_site_fract_y
_atom_site_fract_z
Sb1 Sb 0.0000 0.0000 0.0000
Pb1 Pb 0.1251 0.1251 0.6251
Cl1 Cl 0.2500 0.2500 0.2500

=====

13.
# Pb2Au meta-GGA SCAN single point on PBEsol structure
# * electronic total energy: -73.59 eV/atom
# * total moment: 0.0000 μB/atom
# * energy relative to the elements: -0.047 eV per formula unit
# * DOS at the Fermi energy: 1.18 states/eV/f.u.
data_Pb2Au
_symmetry_space_group_name_H-M 'C m c m'
_symmetry_Int_Tables_number 63
_symmetry_space_group_name_Hall '-C 2c 2'
_cell_length_a 3.4849
_cell_length_b 16.1277
_cell_length_c 5.3673
_cell_angle_alpha 90.00
_cell_angle_beta 90.00
_cell_angle_gamma 90.00
loop_
_atom_site_label
_atom_site_type_symbol
_atom_site_fract_x
_atom_site_fract_y
_atom_site_fract_z
Pb1 Pb 0.0000 0.0810 0.2500
Pb2 Pb 0.0000 0.2156 0.7500
Au1 Au 0.0000 0.4345 0.2500